# 1
An optimized crystal structure of Rb2SiAs. Source: Alexandria via LeMat-Bulk, functional GGA-PBE.

Output
E above lowest polymorph: 0 meV per atom
space-group type: No. 14
energy relative to the elements, uncorrected: -40 kJ/mol of formula units

Unit cell a=9.252 b=7.347 c=10.185 alpha=103.95 beta=90.00 gamma=90.00
Element x y z (fractional)
Rb 0.114 0.384 0.763
As 0.835 0.363 0.528
Si 0.874 0.024 0.459
Rb 0.886 0.616 0.237
As 0.165 0.637 0.472
Rb 0.614 0.116 0.237
Rb 0.101 0.188 0.239
Rb 0.601 0.312 0.761
As 0.665 0.863 0.528
Rb 0.399 0.688 0.239
Rb 0.386 0.884 0.763
Si 0.126 0.976 0.541
Si 0.374 0.476 0.541
Si 0.626 0.524 0.459
As 0.335 0.137 0.472
Rb 0.899 0.812 0.761

---

# 2
An optimized crystal structure of MnHgBr2. Source: Alexandria via LeMat-Bulk, functional GGA-PBE.

Output
E above lowest polymorph: 143 meV per atom
space-group type: No. 65
energy relative to the elements, uncorrected: -164 kJ/mol of formula units

Unit cell a=4.058 b=4.058 c=10.918 alpha=90.00 beta=90.00 gamma=125.27
Site moments in Bohr magnetons follow the coordinates.
Element x y z (fractional)
Br 0.000 0.000 0.588  0.10
Br 0.000 0.000 0.912  0.10
Mn 0.500 0.500 0.750  4.38
Hg 0.500 0.500 0.250  0.00

---

# 3
An optimized crystal structure of TaNb6Mo. Source: Alexandria via LeMat-Bulk, functional GGA-PBE.

Output
E above lowest polymorph: 0 meV per atom
space-group type: No. 65
E_form: -0.26 eV/f.u.

Unit cell a=4.699 b=5.666 c=5.666 alpha=108.48 beta=90.00 gamma=90.00
Element x y z (fractional)
Nb 0.500 0.125 0.375
Nb 0.500 0.625 0.875
Ta 0.500 0.625 0.375
Nb 0.000 0.869 0.131
Mo 0.500 0.125 0.875
Nb 0.000 0.885 0.635
Nb 0.000 0.365 0.115
Nb 0.000 0.381 0.619

---

# 4
An optimized crystal structure of IrSe2IN. Source: Alexandria via LeMat-Bulk, functional GGA-PBE.

Output
E above lowest polymorph: 0 meV per atom
space-group type: No. 123
energy relative to the elements, uncorrected: 245 kJ/mol of formula units

Unit cell a=5.255 b=5.255 c=3.713 alpha=90.00 beta=90.00 gamma=90.00
Element x y z (fractional)
I 0.500 0.500 0.500
Ir 0.000 0.000 0.000
Se 0.000 0.500 0.000
Se 0.500 0.000 0.000
N 0.000 0.000 0.500

---

# 5
An optimized crystal structure of LiSm3Co8. Source: Alexandria via LeMat-Bulk, functional GGA-PBE.

Output
space-group type: No. 160
E_form: -0.65 eV/f.u.

Unit cell a=5.056 b=5.056 c=8.763 alpha=73.23 beta=73.23 gamma=60.00
Site moments in Bohr magnetons follow the coordinates.
Element x y z (fractional)
Li 0.872 0.872 0.383  -0.04
Sm 0.505 0.505 0.485  -0.24
Co 0.189 0.189 0.433  1.44
Co 0.437 0.935 0.192  1.27
Co 0.437 0.437 0.192  1.27
Co 0.938 0.442 0.681  1.35
Co 0.935 0.437 0.192  1.27
Co 0.442 0.938 0.681  1.35
Sm 0.993 0.993 0.021  -0.23
Sm 0.376 0.376 0.872  -0.25
Co 0.687 0.687 0.938  1.22
Co 0.938 0.938 0.681  1.35

---

# 6
An optimized crystal structure of Pa3Mn7Cu2. Source: Alexandria via LeMat-Bulk, functional GGA-PBE.

Output
space-group type: No. 166
E_form: 0.06 eV/f.u.

Unit cell a=5.043 b=5.043 c=8.751 alpha=73.26 beta=73.26 gamma=60.00
Site moments in Bohr magnetons follow the coordinates.
Element x y z (fractional)
Mn 0.586 0.081 0.747  1.82
Mn 0.586 0.586 0.747  1.82
Pa 0.861 0.861 0.417  -0.54
Mn 0.414 0.414 0.253  1.82
Mn 0.414 0.919 0.253  1.82
Mn 0.919 0.414 0.253  1.82
Cu 0.334 0.334 0.998  0.05
Pa 0.139 0.139 0.583  -0.54
Pa 0.000 0.000 0.000  -0.59
Mn 0.500 0.500 0.500  1.66
Cu 0.666 0.666 0.002  0.05
Mn 0.081 0.586 0.747  1.82

---

# 7
An optimized crystal structure of TbB2. Source: Alexandria via LeMat-Bulk, functional GGA-PBE.

Output
E above lowest polymorph: 1279 meV per atom
space-group type: No. 139
E_form: 2.24 eV/f.u.

Unit cell a=2.858 b=2.858 c=5.049 alpha=106.44 beta=106.44 gamma=90.00
Element x y z (fractional)
B 0.716 0.716 0.432
Tb 0.000 0.000 0.000
B 0.284 0.284 0.568

---

# 8
An optimized crystal structure of Li2CaIn8. Source: Alexandria via LeMat-Bulk, functional GGA-PBE.

Output
space-group type: No. 12
E_form: -2.11 eV/f.u.

Unit cell a=4.593 b=7.388 c=8.739 alpha=108.03 beta=105.24 gamma=90.00
Element x y z (fractional)
In 0.147 0.211 0.294
In 0.315 0.079 0.629
In 0.049 0.727 0.098
Ca 0.500 0.000 0.000
In 0.853 0.789 0.706
In 0.685 0.921 0.371
In 0.951 0.273 0.902
Li 0.230 0.651 0.460
Li 0.770 0.349 0.540
In 0.602 0.477 0.205
In 0.398 0.523 0.795

---

# 9
An optimized crystal structure of BaZrTe2. Source: Alexandria via LeMat-Bulk, functional GGA-PBE.

Output
E above lowest polymorph: 97 meV per atom
space-group type: No. 44
energy relative to the elements, uncorrected: -383 kJ/mol of formula units

Unit cell a=8.426 b=8.426 c=8.426 alpha=152.70 beta=151.71 gamma=39.72
Element x y z (fractional)
Zr 0.547 0.547 0.000
Te 0.975 0.975 0.000
Ba 0.297 0.797 0.500
Te 0.681 0.181 0.500

---

# 10
An optimized crystal structure of LaSc2AgN. Source: Alexandria via LeMat-Bulk, functional GGA-PBE.

Output
space-group type: No. 123
energy relative to the elements, uncorrected: -357 kJ/mol of formula units

Unit cell a=4.476 b=4.476 c=5.132 alpha=90.00 beta=90.00 gamma=90.00
Element x y z (fractional)
Sc 0.000 0.500 0.000
Sc 0.500 0.000 0.000
N 0.000 0.000 0.000
Ag 0.500 0.500 0.500
La 0.000 0.000 0.500

---

# 11
An optimized crystal structure of Sr2AsW. Source: Alexandria via LeMat-Bulk, functional GGA-PBE.

Output
space-group type: No. 38
E_form: 0.75 eV/f.u.

Unit cell a=4.328 b=4.729 c=6.271 alpha=67.84 beta=90.00 gamma=90.00
Element x y z (fractional)
Sr 0.000 0.981 0.913
Sr 0.500 0.271 0.333
As 0.500 0.572 0.731
W 0.000 0.676 0.523

---

# 12
An optimized crystal structure of BaThAs2. Source: Alexandria via LeMat-Bulk, functional GGA-PBE.

Output
E above lowest polymorph: 0 meV per atom
space-group type: No. 166
E_form: -5.28 eV/f.u.

Unit cell a=4.438 b=4.438 c=7.982 alpha=73.84 beta=73.84 gamma=59.99
Element x y z (fractional)
Ba 0.500 0.500 0.500
As 0.737 0.737 0.788
Th 0.000 0.000 0.000
As 0.263 0.263 0.212